No. 1
VASP calculation (SCAN) on a PBEsol-optimized structure of LaFeOs2.

The structure in POSCAR format:
```
LaFeOs2
1.0
3.9958 0.0000 0.0000
0.0000 3.9958 0.0000
0.0000 0.0000 4.1908
La Fe Os
1 1 2
direct
0.0000 0.0000 0.0000
0.5000 0.5000 0.0000
0.0000 0.5000 0.5000
0.5000 0.0000 0.5000
```

ρ in g cm⁻³: 14.275
SG: P4/mmm
Energy in eV per cell: -202.1


No. 2
VASP calculation (SCAN) on a PBEsol-optimized structure of ZrCuPdW2.

The structure in POSCAR format:
```
ZrCuPdW2
1.0
4.6715 0.0000 0.0000
0.0000 4.6715 0.0000
0.0000 0.0000 4.5997
Zr Cu Pd W
1 1 1 2
direct
0.0000 0.0000 0.0000
0.0000 0.0000 0.5000
0.5000 0.5000 0.5000
0.0000 0.5000 0.0000
0.5000 0.0000 0.0000
```

ρ in g cm⁻³: 10.403
SG: P4/mmm
Energy in eV per cell: -206.0


No. 3
VASP calculation (SCAN) on a PBEsol-optimized structure of ScBe.

The structure in POSCAR format:
```
ScBe
1.0
4.4226 0.0000 0.0000
-2.2113 3.8301 0.0000
0.0000 0.0000 5.1996
Sc Be
2 2
direct
0.3333 0.6667 0.2500
0.6667 0.3333 0.7500
0.3333 0.6667 0.7500
0.6667 0.3333 0.2500
```

ρ in g cm⁻³: 2.035
SG: P6_3/mmc
Energy in eV per cell: -33.2


No. 4
VASP calculation (SCAN) on a PBEsol-optimized structure of HfFeSb.

The structure in POSCAR format:
```
HfFeSb
1.0
6.7525 0.0000 0.0000
0.0000 4.1485 0.0000
0.0000 0.0000 7.3085
Hf Fe Sb
4 4 4
direct
0.0041 0.2500 0.2174
0.4959 0.7500 0.7174
0.5041 0.2500 0.2826
0.9959 0.7500 0.7826
0.1326 0.2500 0.5717
0.3674 0.7500 0.0717
0.6326 0.2500 0.9283
0.8674 0.7500 0.4283
0.2376 0.7500 0.4008
0.2624 0.2500 0.9008
0.7376 0.7500 0.0992
0.7624 0.2500 0.5992
```

ρ in g cm⁻³: 11.553
SG: Pnma
Raw formation energy in meV/atom: -330


No. 5
VASP calculation (SCAN) on a PBEsol-optimized structure of ScMn2BiO.

The structure in POSCAR format:
```
ScMn2BiO
1.0
5.1678 0.0000 0.0000
0.0000 5.1678 0.0000
0.0000 0.0000 3.8085
Sc Mn Bi O
1 2 1 1
direct
0.0000 0.0000 0.0000
0.0000 0.5000 0.0000
0.5000 0.0000 0.0000
0.5000 0.5000 0.5000
0.0000 0.0000 0.5000
```

ρ in g cm⁻³: 6.201
SG: P4/mmm
Raw formation energy in meV/atom: -250


No. 6
VASP calculation (SCAN) on a PBEsol-optimized structure of LiMgSnAu.

The structure in POSCAR format:
```
LiMgSnAu
1.0
6.5934 0.0000 0.0000
0.0000 6.5934 0.0000
0.0000 0.0000 6.5934
Li Mg Sn Au
4 4 4 4
direct
0.0000 0.0000 0.0000
0.0000 0.5000 0.5000
0.5000 0.0000 0.5000
0.5000 0.5000 0.0000
0.2500 0.2500 0.7500
0.2500 0.7500 0.2500
0.7500 0.2500 0.2500
0.7500 0.7500 0.7500
0.2500 0.2500 0.2500
0.2500 0.7500 0.7500
0.7500 0.2500 0.7500
0.7500 0.7500 0.2500
0.0000 0.0000 0.5000
0.0000 0.5000 0.0000
0.5000 0.0000 0.0000
0.5000 0.5000 0.5000
```

ρ in g cm⁻³: 8.039
SG: F-43m
Energy in eV per cell: -458.6